# SrCdGa

SrCdGa at its PBEsol-relaxed geometry (meta-GGA SCAN, Alexandria via LeMat-Bulk).

Summary:
formation enthalpy at 0 K: -505.0 meV/atom
Fermi-level density of states: 0.421 states/eV per atom

a b c (Å): 11.2025 4.7684 7.7707
angles (deg): 90.00 133.39 90.00
With the nearest neighbours (Å) after each atom.
Space group C2/m (No. 12)
One atom of each set of equivalent atoms:
Sr 0.0454 0.0000 0.2991 [4 per cell]  6 Cd 3.29-3.55, 6 Ga 3.30-3.53
Cd 0.1726 0.5000 0.7360 [4 per cell]  3 Ga 2.78-3.01, 1 Cd 2.99
Ga 0.1526 0.5000 0.1035 [4 per cell]  1 Ga 2.59, 2 Cd 2.78